Record 1
VASP calculation (GGA-PBE) on a relaxed Mn3NiI crystal.

Cell lengths 4.7741, 4.7741, 4.7741 Å; angles 90.00, 90.00, 90.00 degrees
Space group Pm-3m (No. 221)
Asymmetric unit:
Mn  0.0000  0.0000  0.5000 [3 per cell]
Ni  0.5000  0.5000  0.5000 [1 per cell]
I  0.0000  0.0000  0.0000 [1 per cell]

## Properties
- D(E_F) (states/eV/atom) = 0.98
- total moment (μB/atom) = 2.062
- calculated total energy (Ry per atom) = -0.3914
- density (g/cm3) = 5.35
- E above lowest polymorph (eV/atom) = 0.964



Record 2
VASP calculation (GGA-PBE) on a relaxed MnNiI3 crystal.

Cell lengths 5.3082, 5.3082, 5.3082 Å; angles 90.00, 90.00, 90.00 degrees
Space group Pm-3m (No. 221)
Asymmetric unit:
Mn  0.0000  0.0000  0.0000 [1 per cell]
Ni  0.5000  0.5000  0.5000 [1 per cell]
I  0.0000  0.5000  0.5000 [3 per cell]

## Properties
- D(E_F) (states/eV/atom) = 0.70
- total moment (μB/atom) = 1.057
- calculated total energy (Ry per atom) = -0.2600
- density (g/cm3) = 5.49
- E above lowest polymorph (eV/atom) = 0.000



Record 3
VASP calculation (GGA-PBE) on a relaxed MnNi3I crystal.

Cell lengths 4.4566, 4.4566, 4.4566 Å; angles 90.00, 90.00, 90.00 degrees
Space group Pm-3m (No. 221)
Asymmetric unit:
Mn  0.0000  0.0000  0.0000 [1 per cell]
Ni  0.0000  0.0000  0.5000 [3 per cell]
I  0.5000  0.5000  0.5000 [1 per cell]

## Properties
- D(E_F) (states/eV/atom) = 1.32
- total moment (μB/atom) = 0.974
- calculated total energy (Ry per atom) = -0.3350
- density (g/cm3) = 6.71
- E above lowest polymorph (eV/atom) = 0.000



Record 4
VASP calculation (GGA-PBE) on a relaxed MnNi2I6 crystal.

Cell lengths 14.6171, 15.3653, 7.0767 Å; angles 90.00, 114.60, 90.00 degrees
Space group C2/c (No. 15)
Asymmetric unit:
Mn  0.0000  0.2083  0.2500 [4 per cell]
Ni  0.2150  0.4239  0.3504 [8 per cell]
I  0.1012  0.1072  0.5769 [8 per cell]
I  0.1179  0.2969  0.1180 [8 per cell]
I  0.1732  0.4323  0.6608 [8 per cell]

## Properties
- D(E_F) (states/eV/atom) = 0.71
- total moment (μB/atom) = 0.108
- calculated total energy (Ry per atom) = -0.2567
- density (g/cm3) = 4.29



Record 5
VASP calculation (GGA-PBE) on a relaxed MnNiI4 crystal.

Cell lengths 8.1180, 8.3304, 11.6198 Å; angles 90.00, 90.00, 90.00 degrees
Space group Imma (No. 74)
Asymmetric unit:
Mn  0.0000  0.0000  0.0000 [4 per cell]
Ni  0.2500  0.2500  0.2500 [4 per cell]
I  0.0000  0.0236  0.2487 [8 per cell]
I  0.2474  0.2500  0.0102 [8 per cell]

## Properties
- D(E_F) (states/eV/atom) = 0.28
- total moment (μB/atom) = 1.168
- calculated total energy (Ry per atom) = -0.2759
- density (g/cm3) = 5.25



Record 6
VASP calculation (GGA-PBE) on a relaxed Mn3NiI crystal.

Cell lengths 4.6565, 4.6565, 4.6565 Å; angles 90.00, 90.00, 90.00 degrees
Space group Pm-3m (No. 221)
Asymmetric unit:
Mn  0.0000  0.0000  0.5000 [3 per cell]
Ni  0.0000  0.0000  0.0000 [1 per cell]
I  0.5000  0.5000  0.5000 [1 per cell]

## Properties
- D(E_F) (states/eV/atom) = 0.52
- total moment (μB/atom) = 2.476
- calculated total energy (Ry per atom) = -0.4623
- density (g/cm3) = 5.76
- E above lowest polymorph (eV/atom) = 0.000



Record 7
VASP calculation (GGA-PBE) on a relaxed MnNiI3 crystal.

Cell lengths 5.6022, 5.6022, 5.6022 Å; angles 90.00, 90.00, 90.00 degrees
Space group Pm-3m (No. 221)
Asymmetric unit:
Mn  0.0000  0.0000  0.0000 [1 per cell]
Ni  0.5000  0.5000  0.5000 [1 per cell]
I  0.0000  0.0000  0.5000 [3 per cell]

## Properties
- D(E_F) (states/eV/atom) = 3.68
- total moment (μB/atom) = 1.181
- calculated total energy (Ry per atom) = -0.2462
- density (g/cm3) = 4.67
- E above lowest polymorph (eV/atom) = 0.188



| no. | uncorrected formation energy (meV/atom) |
| --- | --- |
| 1 | 1642 |
| 2 | 383 |
| 3 | 1055 |
| 4 | -155 |
| 5 | -228 |
| 6 | 679 |
| 7 | 571 |